! Ni3Os, relaxed, DFT PBE; values from VASP
&SYSTEM
  ibrav = 0, nat = 8, ntyp = 2
/
ATOMIC_SPECIES
Ni 58.69 Ni.upf
Os 190.23 Os.upf
CELL_PARAMETERS angstrom
-0.352 2.802 -3.068
-1.205 -3.174 -2.761
-4.915 0.767 1.264
ATOMIC_POSITIONS angstrom
Ni -0.969 -0.689 -3.351
Ni -2.242 -2.461 -1.991
Ni -1.597 1.072 -1.672
Ni -2.869 -0.701 -0.311
Ni -4.689 -2.079 -1.361
Ni -4.065 1.457 -1.037
Os -0.402 -1.058 -0.920
Os -3.437 -0.331 -2.742
! Energy of formation = 125 meV/atom
! Total magnetic moment = 0.0 μB/cell

---

! Ni3Os2, relaxed, DFT PBE; values from VASP
&SYSTEM
  ibrav = 0, nat = 5, ntyp = 2
/
ATOMIC_SPECIES
Ni 58.69 Ni.upf
Os 190.23 Os.upf
CELL_PARAMETERS angstrom
-8.537 -3.865 -4.842
-7.839 -6.078 -3.587
-9.343 -4.287 -2.365
ATOMIC_POSITIONS angstrom
Ni 0.000 0.000 0.000
Ni -20.606 -11.401 -8.648
Ni -5.114 -2.829 -2.146
Os -15.401 -8.521 -6.463
Os -10.319 -5.710 -4.331
! Energy above the lowest structure with this stoichiometry = 0.00 eV/f.u.
! Energy of formation = 169 meV/atom
! Total magnetic moment = 0.6 μB/cell

---

! Ni3Os, relaxed, DFT PBE; values from VASP
&SYSTEM
  ibrav = 0, nat = 4, ntyp = 2
/
ATOMIC_SPECIES
Ni 58.69 Ni.upf
Os 190.23 Os.upf
CELL_PARAMETERS angstrom
2.573 0.000 0.000
0.000 3.630 0.000
0.000 0.000 5.049
ATOMIC_POSITIONS angstrom
Ni 0.000 0.000 5.047
Ni 0.000 0.000 2.526
Ni 1.286 1.815 3.786
Os 1.286 1.815 1.262
! Energy of formation = 92 meV/atom
! Total magnetic moment = 0.0 μB/cell

---

! Ni3Os, relaxed, DFT PBE; values from VASP
&SYSTEM
  ibrav = 0, nat = 4, ntyp = 2
/
ATOMIC_SPECIES
Ni 58.69 Ni.upf
Os 190.23 Os.upf
CELL_PARAMETERS angstrom
-2.959 0.741 -3.243
-2.018 -1.690 3.591
-0.388 2.362 0.894
ATOMIC_POSITIONS angstrom
Ni 0.000 0.000 0.000
Ni -1.203 0.336 2.242
Ni -1.673 1.552 -1.175
Os -2.488 -0.474 0.174
! Energy of formation = 125 meV/atom
! Total magnetic moment = 1.0 μB/cell

---

! NiOs4, relaxed, DFT PBE; values from VASP
&SYSTEM
  ibrav = 0, nat = 5, ntyp = 2
/
ATOMIC_SPECIES
Ni 58.69 Ni.upf
Os 190.23 Os.upf
CELL_PARAMETERS angstrom
3.083 2.773 -2.145
-3.560 0.920 2.877
2.860 -2.172 2.983
ATOMIC_POSITIONS angstrom
Ni 0.000 0.000 0.000
Os 3.359 0.098 1.693
Os -0.975 1.423 2.022
Os 0.930 -0.391 2.578
Os 1.454 1.912 1.137
! Energy above the lowest structure with this stoichiometry = 0.00 eV/f.u.
! Energy of formation = 149 meV/atom
! Total magnetic moment = 0.0 μB/cell

---

! NiOs7, relaxed, DFT PBE; values from VASP
&SYSTEM
  ibrav = 0, nat = 8, ntyp = 2
/
ATOMIC_SPECIES
Ni 58.69 Ni.upf
Os 190.23 Os.upf
CELL_PARAMETERS angstrom
0.000 3.833 3.833
3.833 0.000 3.833
3.833 3.833 0.000
ATOMIC_POSITIONS angstrom
Ni 0.000 0.000 0.000
Os 3.833 1.916 1.916
Os 1.916 3.833 1.916
Os 1.916 1.916 3.833
Os 1.916 1.916 0.000
Os 1.916 0.000 1.916
Os 0.000 1.916 1.916
Os 3.833 3.833 3.833
! Energy of formation = 220 meV/atom
! Total magnetic moment = 0.0 μB/cell

---

! Ni3Os, relaxed, DFT PBE; values from VASP
&SYSTEM
  ibrav = 0, nat = 16, ntyp = 2
/
ATOMIC_SPECIES
Ni 58.69 Ni.upf
Os 190.23 Os.upf
CELL_PARAMETERS angstrom
4.451 0.000 0.000
0.000 8.286 0.000
0.000 0.000 5.124
ATOMIC_POSITIONS angstrom
Ni 4.074 2.071 4.425
Ni 1.100 0.004 1.958
Ni 1.100 4.139 1.958
Ni 1.126 4.147 4.520
Ni 1.126 8.282 4.520
Ni 2.603 6.214 1.863
Ni 1.848 2.071 3.262
Ni 3.325 0.004 0.604
Ni 3.325 4.139 0.604
Ni 3.351 4.147 3.166
Ni 3.351 8.282 3.166
Ni 0.377 6.214 0.699
Os 0.360 6.214 3.203
Os 1.866 2.071 0.641
Os 2.585 6.214 4.483
Os 4.091 2.071 1.921
! Energy of formation = 85 meV/atom
! Total magnetic moment = 0.0 μB/cell

---

! Ni5Os3, relaxed, DFT PBE; values from VASP
&SYSTEM
  ibrav = 0, nat = 8, ntyp = 2
/
ATOMIC_SPECIES
Ni 58.69 Ni.upf
Os 190.23 Os.upf
CELL_PARAMETERS angstrom
3.654 -3.682 0.000
3.654 3.682 0.000
0.000 0.000 3.639
ATOMIC_POSITIONS angstrom
Ni 0.000 0.000 0.000
Ni 1.827 1.841 0.000
Ni 1.827 -1.841 0.000
Ni 3.654 -1.856 1.820
Ni 3.654 1.856 1.820
Os 3.654 0.000 0.000
Os 1.804 0.000 1.820
Os 5.503 0.000 1.820
! Energy of formation = 179 meV/atom
! Total magnetic moment = 0.0 μB/cell

---

! NiOs5, relaxed, DFT PBE; values from VASP
&SYSTEM
  ibrav = 0, nat = 6, ntyp = 2
/
ATOMIC_SPECIES
Ni 58.69 Ni.upf
Os 190.23 Os.upf
CELL_PARAMETERS angstrom
2.781 0.000 0.000
0.000 4.339 0.000
0.000 -2.170 6.951
ATOMIC_POSITIONS angstrom
Ni 0.000 0.000 0.000
Os 0.000 2.170 2.628
Os 0.000 0.000 4.323
Os 1.391 2.170 0.000
Os 1.391 0.000 1.999
Os 1.391 2.170 4.952
! Energy above the lowest structure with this stoichiometry = 1.50 eV/f.u.
! Energy of formation = 311 meV/atom
! Total magnetic moment = 0.0 μB/cell

---

! NiOs5, relaxed, DFT PBE; values from VASP
&SYSTEM
  ibrav = 0, nat = 6, ntyp = 2
/
ATOMIC_SPECIES
Ni 58.69 Ni.upf
Os 190.23 Os.upf
CELL_PARAMETERS angstrom
-4.802 -1.098 0.821
2.230 -1.536 -4.195
1.234 -3.852 2.067
ATOMIC_POSITIONS angstrom
Ni 0.000 0.000 0.000
Os 1.732 -2.694 -1.064
Os -0.114 -1.390 -2.523
Os -1.784 -2.475 1.444
Os -0.669 -3.243 -0.654
Os -2.458 -1.244 -0.851
! Energy above the lowest structure with this stoichiometry = 5.81 eV/f.u.
! Energy of formation = 1029 meV/atom
! Total magnetic moment = 1.5 μB/cell

---

! Ni3Os, relaxed, DFT PBE; values from VASP
&SYSTEM
  ibrav = 0, nat = 4, ntyp = 2
/
ATOMIC_SPECIES
Ni 58.69 Ni.upf
Os 190.23 Os.upf
CELL_PARAMETERS angstrom
-1.049 -0.900 2.178
-0.502 -3.121 -3.060
4.012 -1.093 1.481
ATOMIC_POSITIONS angstrom
Ni 0.006 -0.007 0.000
Ni 0.973 -4.111 -1.231
Ni 2.496 -2.605 0.125
Os -0.035 -2.509 0.473
! Energy of formation = 83 meV/atom
! Total magnetic moment = 0.0 μB/cell

---

! Ni3Os, relaxed, DFT PBE; values from VASP
&SYSTEM
  ibrav = 0, nat = 4, ntyp = 2
/
ATOMIC_SPECIES
Ni 58.69 Ni.upf
Os 190.23 Os.upf
CELL_PARAMETERS angstrom
-0.338 -3.472 0.895
2.336 0.691 -3.680
3.565 -0.229 0.458
ATOMIC_POSITIONS angstrom
Ni 0.000 0.000 0.000
Ni 1.613 -1.850 0.677
Ni 3.588 -2.430 -0.825
Os 1.975 -0.580 -1.501
! Energy of formation = 121 meV/atom
! Total magnetic moment = 0.0 μB/cell

---

Question: Which value of total magnetic moment does entry 6 give?
Answer: 0.0 μB/cell

---

Please write out number 9 again, unchanged.
! NiOs5, relaxed, DFT PBE; values from VASP
&SYSTEM
  ibrav = 0, nat = 6, ntyp = 2
/
ATOMIC_SPECIES
Ni 58.69 Ni.upf
Os 190.23 Os.upf
CELL_PARAMETERS angstrom
2.781 0.000 0.000
0.000 4.339 0.000
0.000 -2.170 6.951
ATOMIC_POSITIONS angstrom
Ni 0.000 0.000 0.000
Os 0.000 2.170 2.628
Os 0.000 0.000 4.323
Os 1.391 2.170 0.000
Os 1.391 0.000 1.999
Os 1.391 2.170 4.952
! Energy above the lowest structure with this stoichiometry = 1.50 eV/f.u.
! Energy of formation = 311 meV/atom
! Total magnetic moment = 0.0 μB/cell